1.
Compound: Sc2ZnAs
Source: Alexandria
Functional: GGA-PBEsol
Structure: optimized geometry

Computed properties:
The calculation puts the density of states at the Fermi level at 0.710 states/eV/atom. The formation energy comes out at -81 kJ/mol of atoms. The symmetry is Amm2, No. 38. The calculation puts the mass density at 5.18 g/cm3. For the total energy, the calculation gives -5.814 eV/atom.

Unit cell a=3.7829 b=3.8683 c=5.4002 alpha=110.99 beta=90.00 gamma=90.00
Closest atoms and distances in Å follow each position.
Element x y z (fractional)
Sc1 0.5000 0.9842 0.9683  4 Zn 2.76, 3 As 2.77-2.98
Sc2 0.0000 0.2678 0.5356  3 Zn 2.73-3.01, 4 As 2.77
As1 0.5000 0.7093 0.4186  2 Zn 2.56, 5 Sc 2.77
Zn1 0.0000 0.5387 0.0774  2 As 2.56, 5 Sc 2.73-2.76

2.
Compound: CdSb2
Source: Alexandria
Functional: GGA-PBEsol
Structure: optimized geometry

Computed properties:
The calculation puts the density of states at the Fermi level at 0.354 states/eV/atom. The symmetry is C2/m, No. 12. The calculation puts the mass density at 7.33 g/cm3. The value obtained for the uncorrected formation energy is 0.093 eV per atom. For the total energy, the calculation gives -3.344 eV/atom.

Unit cell a=3.1008 b=6.8172 c=8.5825 alpha=113.51 beta=90.00 gamma=103.15
Closest atoms and distances in Å follow each position.
Element x y z (fractional)
Sb1 0.5886 0.1771 0.4196  4 Sb 2.99-3.18, 2 Cd 3.00
Sb2 0.2942 0.5884 0.8120  3 Cd 2.94-3.03, 3 Sb 2.99-3.10
Sb3 0.7058 0.4116 0.1880  3 Cd 2.94-3.03, 3 Sb 2.99-3.10
Sb4 0.4114 0.8229 0.5804  4 Sb 2.99-3.18, 2 Cd 3.00
Cd1 0.9129 0.8258 0.1404  5 Sb 2.94-3.03, 2 Cd 3.10
Cd2 0.0871 0.1742 0.8596  5 Sb 2.94-3.03, 2 Cd 3.10